1.
DFT (PBE-GGA) results for an optimized crystal structure of CsHf3Zr.

POSCAR file:
```
CsHf3Zr
1.0
5.1915 0.0000 0.0000
0.0000 5.1915 0.0000
0.0000 0.0000 5.1915
Cs Hf Zr
1 3 1
direct
0.0000 0.0000 0.0000
0.0000 0.0000 0.5000
0.0000 0.5000 0.0000
0.5000 0.0000 0.0000
0.5000 0.5000 0.5000
```

Properties
Crystal system   cubic

***

2.
DFT (PBE-GGA) results for an optimized crystal structure of Cs3HfZr.

POSCAR file:
```
Cs3HfZr
1.0
6.5703 0.0000 0.0000
0.0000 6.5703 0.0000
0.0000 0.0000 6.5703
Cs Hf Zr
3 1 1
direct
0.0000 0.0000 0.5000
0.0000 0.5000 0.0000
0.5000 0.0000 0.0000
0.5000 0.5000 0.5000
0.0000 0.0000 0.0000
```

Properties
Crystal system   cubic

***

3.
DFT (PBE-GGA) results for an optimized crystal structure of CsHf2Zr.

POSCAR file:
```
CsHf2Zr
1.0
0.0000 3.7329 3.7329
3.7329 0.0000 3.7329
3.7329 3.7329 0.0000
Cs Hf Zr
1 2 1
direct
0.0000 0.0000 0.0000
0.2500 0.2500 0.2500
0.7500 0.7500 0.7500
0.5000 0.5000 0.5000
```

Properties
Crystal system   cubic

***

4.
DFT (PBE-GGA) results for an optimized crystal structure of Cs2HfZr2.

POSCAR file:
```
Cs2HfZr2
1.0
9.7302 0.0000 0.0000
0.0000 9.7302 0.0000
0.0000 0.0000 3.2082
Cs Hf Zr
4 2 4
direct
0.1917 0.3083 0.0000
0.3083 0.8083 0.0000
0.6917 0.1917 0.0000
0.8083 0.6917 0.0000
0.0000 0.0000 0.0000
0.5000 0.5000 0.0000
0.1119 0.6119 0.5000
0.3881 0.1119 0.5000
0.6119 0.8881 0.5000
0.8881 0.3881 0.5000
```

Properties
Crystal system   tetragonal

***

5.
DFT (PBE-GGA) results for an optimized crystal structure of CsHf2Zr.

POSCAR file:
```
CsHf2Zr
1.0
-2.2342 2.2342 10.8483
2.2342 -2.2342 10.8483
2.2342 2.2342 -10.8483
Cs Hf Zr
2 4 2
direct
0.0000 0.0000 0.0000
0.7500 0.2500 0.5000
0.1443 0.6250 0.0193
0.3750 0.3943 0.5193
0.6057 0.1250 0.9807
0.8750 0.8557 0.4807
0.2500 0.7500 0.5000
0.5000 0.5000 0.0000
```

Properties
Crystal system   tetragonal

***

6.
DFT (PBE-GGA) results for an optimized crystal structure of CsHf3Zr.

POSCAR file:
```
CsHf3Zr
1.0
5.4269 0.0000 0.0000
0.0000 5.4269 0.0000
0.0000 0.0000 5.4269
Cs Hf Zr
1 3 1
direct
0.0000 0.0000 0.0000
0.0000 0.5000 0.5000
0.5000 0.0000 0.5000
0.5000 0.5000 0.0000
0.5000 0.5000 0.5000
```

Properties
Crystal system   cubic

***

Number 1: V 28.0 Å³/atom, formation energy from the elements 10.609 eV/f.u.. Number 2: V 56.7 Å³/atom, formation energy from the elements 10.308 eV/f.u.. Number 3: V 26.0 Å³/atom, formation energy from the elements 4.892 eV/f.u.. Number 4: V 30.4 Å³/atom, formation energy from the elements 8.283 eV/f.u.. Number 5: V 27.1 Å³/atom, formation energy from the elements 5.763 eV/f.u.. Number 6: V 32.0 Å³/atom, formation energy from the elements 6.918 eV/f.u..